This record from Alexandria describes crystalline MgZrAl at its relaxed geometry. The functional is PBE-GGA.

a b c (Å): 6.6761 6.6761 6.6761
angles (deg): 90.00 90.00 90.00
Space group F-43m (No. 216)
One atom of each set of equivalent atoms:
Mg 0.0000 0.0000 0.0000 x4
Zr 0.2500 0.2500 0.2500 x4
Al 0.0000 0.0000 0.5000 x4

Computed properties:
Calculated formation energy, meV per atom: 488
VASP energy, eV/cell: -49.68
Magnetic moment, μB/f.u.: 0.000
D(E_F), states/eV/f.u.: 2.51

This record from Alexandria describes crystalline La6PrYEr2 at its relaxed geometry. The functional is PBE-GGA.

a b c (Å): 11.3579 7.2547 8.9609
angles (deg): 90.00 103.27 90.00
Space group C2/m (No. 12)
One atom of each set of equivalent atoms:
La 0.1371 0.0000 0.4381 x4
La 0.1794 0.2806 0.8017 x8
Pr 0.0000 0.0000 0.0000 x2
Y 0.0000 0.5000 0.5000 x2
Er 0.0908 0.5000 0.1637 x4

Computed properties:
Calculated formation energy, meV per atom: 188
VASP energy, eV/cell: -96.11
Magnetic moment, μB/f.u.: 0.000
D(E_F), states/eV/f.u.: 19.15

This record from Alexandria describes crystalline Sr2AlGa4Pd3 at its relaxed geometry. The functional is PBE-GGA.

a b c (Å): 4.3214 4.3214 11.0358
angles (deg): 90.00 90.00 90.00
Space group P-4m2 (No. 115)
One atom of each set of equivalent atoms:
Sr 0.0000 0.5000 0.2479 x2
Al 0.0000 0.0000 0.5000 x1
Ga 0.0000 0.0000 0.0000 x1
Ga 0.0000 0.5000 0.6365 x2
Ga 0.5000 0.5000 0.0000 x1
Pd 0.0000 0.5000 0.8719 x2
Pd 0.5000 0.5000 0.5000 x1

Computed properties:
Calculated formation energy, meV per atom: -642
VASP energy, eV/cell: -41.21
Magnetic moment, μB/f.u.: 0.000
D(E_F), states/eV/f.u.: 5.37

This record from Alexandria describes crystalline CdO at its relaxed geometry. The functional is PBE-GGA.

a b c (Å): 7.7566 7.7566 4.7878
angles (deg): 90.00 90.00 90.00
Space group I4/mcm (No. 140)
One atom of each set of equivalent atoms:
Cd 0.1506 0.3494 0.0000 x8
O 0.1467 0.3533 0.5000 x8

Computed properties:
VASP energy, eV/cell: -62.47
Magnetic moment, μB/f.u.: 0.000
Formation energy from raw total energies, eV per atom: -0.97
D(E_F), states/eV/f.u.: 0.55

This record from Alexandria describes crystalline Nd3Sm2Ag2 at its relaxed geometry. The functional is PBE-GGA.

a b c (Å): 13.1243 3.8388 9.4474
angles (deg): 90.00 115.51 90.00
Space group C2/m (No. 12)
One atom of each set of equivalent atoms:
Nd 0.0000 0.0000 0.0000 x2
Nd 0.1108 0.0000 0.4457 x4
Sm 0.1489 0.5000 0.8136 x4
Ag 0.1727 0.5000 0.2253 x4

Computed properties:
Calculated formation energy, meV per atom: -111
VASP energy, eV/cell: -60.45
Offset from the most stable computed form, meV per atom: 0
Magnetic moment, μB/f.u.: 0.000
D(E_F), states/eV/f.u.: 7.38

This record from Alexandria describes crystalline CaLa3Tc at its relaxed geometry. The functional is PBE-GGA.

a b c (Å): 7.3464 25.9915 5.5799
angles (deg): 90.00 90.00 90.00
Space group Cmcm (No. 63)
One atom of each set of equivalent atoms:
Ca 0.0000 0.1265 0.2500 x4
La 0.0000 0.0000 0.0000 x4
La 0.2363 0.2052 0.7500 x8
Tc 0.0000 0.2368 0.2500 x4

Computed properties:
Calculated formation energy, meV per atom: 668
VASP energy, eV/cell: -95.25
Offset from the most stable computed form, meV per atom: 684
Magnetic moment, μB/f.u.: 0.000
D(E_F), states/eV/f.u.: 4.67

This record from Alexandria describes crystalline ScMnSi at its relaxed geometry. The functional is PBE-GGA.

a b c (Å): 4.1928 4.1928 3.2199
angles (deg): 90.00 90.00 120.00
Space group P-6m2 (No. 187)
One atom of each set of equivalent atoms:
Sc 0.0000 0.0000 0.0000 x1
Mn 0.3333 0.6667 0.5000 x1
Si 0.6667 0.3333 0.5000 x1

Computed properties:
VASP energy, eV/cell: -22.08
Magnetic moment, μB/f.u.: 2.870
Formation energy from raw total energies, eV per atom: -0.38
D(E_F), states/eV/f.u.: 3.43

This record from Alexandria describes crystalline Ce5BiOs2 at its relaxed geometry. The functional is PBE-GGA.

a b c (Å): 7.8919 7.8919 13.6393
angles (deg): 90.00 90.00 90.00
Space group I4/mcm (No. 140)
One atom of each set of equivalent atoms:
Ce 0.0000 0.0000 0.0000 x4
Ce 0.1575 0.3425 0.1314 x16
Bi 0.0000 0.0000 0.2500 x4
Os 0.1426 0.3574 0.5000 x8

Computed properties:
Calculated formation energy, meV per atom: -351
VASP energy, eV/cell: -235.29
Magnetic moment, μB/f.u.: 3.191
D(E_F), states/eV/f.u.: 23.34

This record from Alexandria describes crystalline CaCdTc2 at its relaxed geometry. The functional is PBE-GGA.

a b c (Å): 2.8300 5.0293 5.3814
angles (deg): 90.00 95.83 90.00
Space group P2/m (No. 10)
One atom of each set of equivalent atoms:
Ca 0.0000 0.0000 0.0000 x1
Cd 0.5000 0.0000 0.5000 x1
Tc 0.3483 0.5000 0.7835 x2

Computed properties:
Calculated formation energy, meV per atom: 549
VASP energy, eV/cell: -21.45
Magnetic moment, μB/f.u.: 0.000
D(E_F), states/eV/f.u.: 3.63

This record from Alexandria describes crystalline Ac8Pr4Y at its relaxed geometry. The functional is PBE-GGA.

a b c (Å): 12.1999 5.5251 15.9480
angles (deg): 90.00 94.16 90.00
Space group C2/m (No. 12)
One atom of each set of equivalent atoms:
Ac 0.0411 0.0000 0.3853 x4
Ac 0.0760 0.5000 0.7726 x4
Ac 0.1917 0.0000 0.9254 x4
Ac 0.2332 0.5000 0.3095 x4
Pr 0.1138 0.0000 0.1516 x4
Pr 0.1520 0.5000 0.5376 x4
Y 0.0000 0.5000 0.0000 x2

Computed properties:
Calculated formation energy, meV per atom: 31
VASP energy, eV/cell: -116.10
Magnetic moment, μB/f.u.: 0.000
D(E_F), states/eV/f.u.: 22.53

This record from Alexandria describes crystalline ZnRu2Rh at its relaxed geometry. The functional is PBE-GGA.

a b c (Å): 2.7737 4.6339 8.9447
angles (deg): 90.00 90.00 90.00
Space group Cmm2 (No. 35)
One atom of each set of equivalent atoms:
Zn 0.0000 0.0000 0.0000 x2
Ru 0.0000 0.0000 0.5011 x2
Ru 0.0000 0.5000 0.7488 x2
Rh 0.0000 0.5000 0.2438 x2

Computed properties:
Calculated formation energy, meV per atom: 209
VASP energy, eV/cell: -52.68
Magnetic moment, μB/f.u.: 1.463
D(E_F), states/eV/f.u.: 3.83

This record from Alexandria describes crystalline SrLiTl14 at its relaxed geometry. The functional is PBE-GGA.

a b c (Å): 10.7285 8.1562 11.0255
angles (deg): 90.00 90.00 90.00
Space group Amm2 (No. 38)
One atom of each set of equivalent atoms:
Sr 0.0000 0.0000 0.0000 x2
Li 0.0000 0.0000 0.4459 x2
Tl 0.0000 0.2085 0.7269 x4
Tl 0.2331 0.0000 0.2427 x4
Tl 0.2403 0.2119 0.5100 x8
Tl 0.2686 0.0000 0.7856 x4
Tl 0.5000 0.0000 0.0187 x2
Tl 0.5000 0.0000 0.5448 x2
Tl 0.5000 0.2229 0.2795 x4

Computed properties:
Calculated formation energy, meV per atom: -62
VASP energy, eV/cell: -75.44
Magnetic moment, μB/f.u.: 0.000
D(E_F), states/eV/f.u.: 8.71

This record from Alexandria describes crystalline ScSiS4 at its relaxed geometry. The functional is PBE-GGA.

a b c (Å): 6.0380 6.0380 8.7400
angles (deg): 90.00 90.00 90.00
Space group P-42c (No. 112)
One atom of each set of equivalent atoms:
Sc 0.0000 0.0000 0.0000 x2
Si 0.0000 0.5000 0.2500 x2
S 0.2223 0.2858 0.3686 x8

Computed properties:
VASP energy, eV/cell: -66.03
Magnetic moment, μB/f.u.: 0.759
Formation energy from raw total energies, eV per atom: -0.79
D(E_F), states/eV/f.u.: 5.04